1.
VASP calculation (PBE) on Nd3Sm2Th2 after structural relaxation.

Unit cell a=5.6583 b=3.4689 c=12.5264 alpha=90.00 beta=103.05 gamma=90.00
Closest atoms and distances in Å follow each position.
Space group P2/m (No. 10)
Unique sites:
Nd 0.0000 0.0000 0.0000 (multiplicity 1)  2 Th 3.44, 2 Nd 3.47, 8 Sm 3.79
Nd 0.2891 0.0000 0.5783 (multiplicity 2)  3 Th 3.30-3.61, 4 Nd 3.41-3.47
Sm 0.4245 0.5000 0.8498 (multiplicity 2)  3 Sm 3.47-3.67, 4 Th 3.69, 6 Nd 3.74-3.79
Th 0.1418 0.0000 0.2822 (multiplicity 2)  4 Nd 3.30-3.61, 2 Th 3.47, 4 Sm 3.69

* E: -5.3126 eV per atom
* mass density: 8.302 g/cm3


2.
VASP calculation (PBE) on Ba4Tl5Pd6 after structural relaxation.

Unit cell a=4.6599 b=21.9129 c=16.9428 alpha=90.00 beta=90.00 gamma=90.00
Closest atoms and distances in Å follow each position.
Space group Cmc2_1 (No. 36)
Unique sites:
Ba 0.0000 0.0082 0.0000 (multiplicity 4)  7 Pd 3.36-3.63, 1 Tl 3.68
Ba 0.0000 0.0359 0.2634 (multiplicity 4)  6 Pd 3.26-3.45, 5 Tl 3.49-3.65
Ba 0.0000 0.1614 0.7921 (multiplicity 4)  6 Pd 3.17-3.48
Ba 0.0000 0.1813 0.4378 (multiplicity 4)  6 Pd 3.30-3.44
Tl 0.0000 0.1498 0.1163 (multiplicity 4)  4 Pd 2.76-2.85
Tl 0.0000 0.3029 0.1074 (multiplicity 4)  4 Pd 2.85-2.92
Tl 0.0000 0.3360 0.7694 (multiplicity 4)  3 Pd 2.77-2.86
Tl 0.0000 0.3574 0.4644 (multiplicity 4)  4 Pd 2.84-3.06
Tl 0.0000 0.4463 0.1636 (multiplicity 4)  4 Pd 2.84-3.08
Pd 0.0000 0.1171 0.6140 (multiplicity 4)  4 Tl 2.84-2.92, 1 Ba 3.17
Pd 0.0000 0.2165 0.9780 (multiplicity 4)  4 Tl 2.76-2.90
Pd 0.0000 0.2303 0.2469 (multiplicity 4)  4 Tl 2.77-2.85
Pd 0.0000 0.4250 0.6222 (multiplicity 4)  5 Tl 2.85-3.17
Pd 0.0000 0.4279 0.8896 (multiplicity 4)  1 Pd 2.80, 1 Tl 2.86
Pd 0.0000 0.4489 0.3457 (multiplicity 4)  1 Pd 2.80, 2 Tl 2.84-3.08

* E: -3.7644 eV per atom
* mass density: 8.484 g/cm3


| no. | energy of formation (eV/atom) |
| --- | --- |
| 1 | 0.20 |
| 2 | -0.39 |